(1)
Computed, not measured: crystalline TiV3Si2 at its relaxed geometry at the GGA-PBE level of DFT.

Results
* final energy: -8.039 eV per atom

Geometry as CIF:
```
data_TiV3Si2
_chemical_formula_sum 'Ti2 V6 Si4'
_symmetry_space_group_name_H-M 'P 1'
_symmetry_Int_Tables_number 1
_symmetry_space_group_name_Hall 'P 1'
_cell_length_a 6.8013
_cell_length_b 6.8013
_cell_length_c 7.7407
_cell_angle_alpha 119.47
_cell_angle_beta 119.47
_cell_angle_gamma 34.66
loop_
_atom_site_label
_atom_site_fract_x
_atom_site_fract_y
_atom_site_fract_z
Ti1 0.1353 0.1353 0.0688
Ti2 0.8647 0.8647 0.9312
V1 0.0388 0.0388 0.3632
V2 0.3087 0.3087 0.5082
V3 0.4134 0.4134 0.3227
V4 0.5866 0.5866 0.6773
V5 0.6913 0.6913 0.4918
V6 0.9612 0.9612 0.6368
Si1 0.2052 0.2052 0.7315
Si2 0.4780 0.4780 0.8417
Si3 0.5220 0.5220 0.1583
Si4 0.7948 0.7948 0.2685
```


(2)
Computed, not measured: crystalline Tb3Y3ErS8 at its relaxed geometry at the GGA-PBE level of DFT.

Results
* final energy: -6.782 eV per atom

Geometry as CIF:
```
data_Tb3Y3ErS8
_chemical_formula_sum 'Tb3 Y3 Er1 S8'
_symmetry_space_group_name_H-M 'P 1'
_symmetry_Int_Tables_number 1
_symmetry_space_group_name_Hall 'P 1'
_cell_length_a 7.8214
_cell_length_b 7.8214
_cell_length_c 7.8214
_cell_angle_alpha 60.03
_cell_angle_beta 60.03
_cell_angle_gamma 60.03
loop_
_atom_site_label
_atom_site_fract_x
_atom_site_fract_y
_atom_site_fract_z
Tb1 0.0000 0.5000 0.5000
Tb2 0.5000 0.0000 0.5000
Tb3 0.5000 0.5000 0.0000
Y1 0.0000 0.0000 0.5000
Y2 0.0000 0.5000 0.0000
Y3 0.5000 0.0000 0.0000
Er1 0.0000 0.0000 0.0000
S1 0.2482 0.2482 0.7523
S2 0.2482 0.7523 0.2482
S3 0.2477 0.7518 0.7518
S4 0.2497 0.2497 0.2497
S5 0.7503 0.7503 0.7503
S6 0.7523 0.2482 0.2482
S7 0.7518 0.2477 0.7518
S8 0.7518 0.7518 0.2477
```


(3)
Computed, not measured: crystalline TaTeI3 at its relaxed geometry at the GGA-PBE level of DFT.

Results
* final energy: -4.319 eV per atom

Geometry as CIF:
```
data_TaTeI3
_chemical_formula_sum 'Ta4 Te4 I12'
_symmetry_space_group_name_H-M 'P 1'
_symmetry_Int_Tables_number 1
_symmetry_space_group_name_Hall 'P 1'
_cell_length_a 8.8940
_cell_length_b 8.8940
_cell_length_c 13.7971
_cell_angle_alpha 93.13
_cell_angle_beta 93.13
_cell_angle_gamma 130.88
loop_
_atom_site_label
_atom_site_fract_x
_atom_site_fract_y
_atom_site_fract_z
Ta1 0.0036 0.1264 0.1541
Ta2 0.1264 0.0036 0.6541
Ta3 0.8736 0.9964 0.3459
Ta4 0.9964 0.8736 0.8459
Te1 0.0132 0.6409 0.6999
Te2 0.3591 0.9868 0.8001
Te3 0.6409 0.0132 0.1999
Te4 0.9868 0.3591 0.3001
I1 0.0543 0.2291 0.5372
I2 0.2074 0.2831 0.8031
I3 0.2291 0.0543 0.0372
I4 0.2383 0.4926 0.0780
I5 0.2831 0.2074 0.3031
I6 0.4926 0.2383 0.5780
I7 0.5074 0.7617 0.4220
I8 0.7169 0.7926 0.6969
I9 0.7617 0.5074 0.9220
I10 0.7709 0.9457 0.9628
I11 0.7926 0.7169 0.1969
I12 0.9457 0.7709 0.4628
```


(4)
Computed, not measured: crystalline Mg3BeO at its relaxed geometry at the GGA-PBE level of DFT.

Results
* energy above the most stable polymorph in this dataset: 0.00 eV per formula unit

Geometry as CIF:
```
data_Mg3BeO
_chemical_formula_sum 'Mg3 Be1 O1'
_symmetry_space_group_name_H-M 'P 1'
_symmetry_Int_Tables_number 1
_symmetry_space_group_name_Hall 'P 1'
_cell_length_a 4.1981
_cell_length_b 4.1981
_cell_length_c 4.1981
_cell_angle_alpha 90.00
_cell_angle_beta 90.00
_cell_angle_gamma 90.00
loop_
_atom_site_label
_atom_site_fract_x
_atom_site_fract_y
_atom_site_fract_z
Mg1 0.0000 0.0000 0.5000
Mg2 0.0000 0.5000 0.0000
Mg3 0.5000 0.0000 0.0000
Be1 0.5000 0.5000 0.5000
O1 0.0000 0.0000 0.0000
```


- Number 3 is which compound?
  TaTeI3